Density functional theory data (GGA-PBE) for Y2PaAsO8 after structural relaxation.

The structure in POSCAR format:
```
Y2PaAsO8
1.0
-0.4645 4.7057 1.5017
-4.5607 0.0107 -1.9488
-2.5152 -2.1234 5.8752
O As Y Pa
8 1 2 1
Cartesian
-3.6918 3.4615 -0.3289
-4.7646 2.2276 2.6244
-3.8486 -0.8685 5.7570
-4.3822 0.3782 -0.0564
-2.7758 0.3654 2.8037
-3.1582 2.2147 5.4845
-1.7406 3.4129 2.1713
-5.7998 -0.8199 3.2568
0.0000 0.0000 0.0000
-4.4379 0.7337 4.2726
-3.1025 1.8593 1.1556
-1.2576 -1.0617 2.9376
```

## Properties
Energy relative to the elements, uncorrected (eV/atom): -2.810